Crystalline Ac2TlIr at its relaxed geometry. Source: Alexandria via LeMat-Bulk, functional PBE.

Unit cell a=8.980 b=8.980 c=8.980 alpha=27.83 beta=27.83 gamma=27.83
Positions (direct):
Ac 0.231 0.231 0.231
Ac 0.769 0.769 0.769
Tl 0.000 0.000 0.000
Ir 0.500 0.500 0.500

Results
- ΔE to the lowest computed polymorph (meV/atom) = 0
- formation energy (kJ/mol of atoms) = -51.0
- final energy (eV per atom) = -5.39